Record 1
Material: LiTlSe2
Method: DFT, GGA-PBE
State: optimized geometry

Spin magnetization: 0.0 μB per formula unit
Volume: 210.5 Å³/cell
Space-group type: P-1
Formation energy without anion corrections: -0.5729 eV/atom
ρ: 5.83 Mg/m³

Geometry as POSCAR:
```
LiTlSe2
1.0
7.197 -0.040 0.030
1.098 4.281 -0.004
1.284 -0.690 6.829
Li Se Tl
2 4 2
Cartesian
3.225 3.758 4.904 Li
0.845 2.587 0.252 Li
7.468 0.492 1.788 Se
2.699 1.532 3.400 Se
4.079 1.284 5.427 Se
7.373 0.052 6.590 Se
4.304 3.613 1.065 Tl
6.961 2.693 4.122 Tl
```

Record 2
Material: LiTlSe2
Method: DFT, GGA-PBE
State: optimized geometry

Spin magnetization: 0.0 μB per formula unit
Volume: 91.5 Å³/cell
Space-group type: P4/mmm
Formation energy without anion corrections: -0.2797 eV/atom
ρ: 6.70 Mg/m³

Geometry as POSCAR:
```
LiTlSe2
1.0
-2.689 -1.988 -1.909
3.055 -3.780 -0.368
-1.684 -1.771 4.217
Se Li Tl
2 1 1
Cartesian
0.685 -2.776 1.924 Se
0.000 0.000 0.000 Se
-2.187 -1.879 1.154 Li
0.183 -2.884 -1.138 Tl
```

Record 3
Material: LiTl2Se3
Method: DFT, GGA-PBE
State: optimized geometry

Spin magnetization: 0.0 μB per formula unit
Volume: 184.1 Å³/cell
Space-group type: Imm2
Formation energy without anion corrections: -0.4564 eV/atom
ρ: 5.89 Mg/m³

Geometry as POSCAR:
```
LiTl2Se3
1.0
-2.814 2.208 -3.191
2.867 -2.660 -4.369
-4.253 -4.772 4.049
Se Tl Li
3 2 1
Cartesian
0.150 -0.139 -0.228 Se
-1.348 -1.804 -3.660 Se
-2.897 -3.379 0.217 Se
0.792 -3.546 -3.152 Tl
-3.611 -2.960 -2.463 Tl
-0.763 0.507 -2.576 Li
```

Record 4
Material: LiTlSe2
Method: DFT, GGA-PBE
State: optimized geometry

Spin magnetization: 0.0 μB per formula unit
Volume: 907.9 Å³/cell
Space-group type: C2/c
Formation energy without anion corrections: -0.5360 eV/atom
ρ: 5.40 Mg/m³

Geometry as POSCAR:
```
LiTlSe2
1.0
15.103 0.000 -1.881
2.729 5.235 -6.081
-2.729 5.235 6.081
Se Tl Li
16 8 8
Cartesian
11.048 5.294 -5.714 Se
17.135 3.981 -6.458 Se
12.692 4.002 -4.451 Se
6.855 6.489 0.564 Se
2.412 6.468 2.570 Se
14.336 5.294 -3.188 Se
4.056 5.176 3.833 Se
11.274 6.457 -1.245 Se
3.829 4.013 -0.636 Se
3.722 9.248 -0.304 Se
5.140 7.080 -3.511 Se
8.249 3.981 -2.444 Se
-2.032 6.489 4.577 Se
11.381 1.222 -1.576 Se
0.767 5.176 1.308 Se
9.963 3.390 1.630 Se
10.756 5.257 3.402 Tl
5.933 5.213 -1.739 Tl
2.434 6.766 -1.736 Tl
4.348 5.213 -5.283 Tl
12.669 3.704 -0.144 Tl
5.117 1.531 0.796 Tl
9.171 5.257 -0.142 Tl
9.986 8.940 -2.676 Tl
1.234 3.668 -0.865 Li
14.853 5.023 -5.692 Li
10.531 5.023 -3.210 Li
4.573 5.447 1.329 Li
6.318 8.903 -0.075 Li
8.786 1.567 -1.805 Li
0.250 5.447 3.811 Li
13.869 6.802 -1.016 Li
```

Record 5
Material: LiTlSe2
Method: DFT, GGA-PBE
State: optimized geometry

Spin magnetization: 0.0 μB per formula unit
Volume: 93.7 Å³/cell
Space-group type: F-43m
Formation energy without anion corrections: -0.1087 eV/atom
ρ: 6.54 Mg/m³

Geometry as POSCAR:
```
LiTlSe2
1.0
-0.802 1.647 -4.758
-3.340 -2.412 -3.003
-4.417 2.239 -1.212
Se Li Tl
2 1 1
Cartesian
0.000 0.000 0.000 Se
-2.140 0.368 -2.243 Se
-4.280 0.737 -4.486 Li
-6.420 1.105 -6.729 Tl
```

Record 6
Material: LiTlSe2
Method: DFT, GGA-PBE
State: optimized geometry

Spin magnetization: 0.0 μB per formula unit
Volume: 451.9 Å³/cell
Space-group type: Pna2_1
Formation energy without anion corrections: -0.6212 eV/atom
ρ: 5.43 Mg/m³

Geometry as POSCAR:
```
LiTlSe2
1.0
-0.755 6.827 -2.935
-6.490 -2.813 -4.873
-4.559 1.687 5.096
Tl Se Li
4 8 4
Cartesian
-7.055 1.193 3.027 Tl
-5.809 5.310 2.779 Tl
-8.274 1.234 -2.943 Tl
-7.028 5.351 -3.191 Tl
-7.322 3.289 -1.467 Se
-4.131 4.656 0.753 Se
-2.057 6.190 -2.584 Se
-8.690 -0.881 -1.310 Se
-5.344 4.645 -5.195 Se
-5.232 0.601 1.110 Se
-3.424 2.020 -2.427 Se
-6.445 0.591 -4.838 Se
-5.755 -1.859 -4.528 Li
-5.033 2.595 -0.490 Li
-3.774 6.718 -0.728 Li
-4.495 2.264 -4.766 Li
```